Entry 1:
{"formula": "Ta2AuCl", "functional": "PBE", "state": "relaxed", "lattice": [[-4.042, 2.721, -1.683], [-4.638, -0.249, -2.236], [-6.257, 0.512, 3.995]], "species": ["Ta", "Ta", "Cl", "Au"], "frac_coords": [[0.969, 0.969, 0.910], [0.531, 0.531, 0.590], [0.250, 0.250, 0.250], [0.750, 0.750, 0.750]], "e_form_raw_ev_per_atom": 0.18, "dos_at_fermi_per_ev_cell": 2.66, "e_tot_ev_per_atom": -7.02, "sg": "No. 12"}

Entry 2:
{"formula": "NiSn2Cl6", "functional": "PBE", "state": "relaxed", "lattice": [[8.396, -1.007, -0.236], [3.100, 5.144, 2.175], [2.461, -1.029, 5.804]], "species": ["Sn", "Sn", "Cl", "Cl", "Cl", "Cl", "Cl", "Cl", "Ni"], "frac_coords": [[0.770, 0.400, 0.400], [0.230, 0.600, 0.600], [0.146, 0.630, 0.059], [0.500, 0.740, 0.260], [0.854, 0.370, 0.941], [0.854, 0.941, 0.370], [0.500, 0.260, 0.740], [0.146, 0.059, 0.630], [0.000, 0.000, 0.000]], "e_form_raw_ev_per_atom": -0.80, "e_tot_ev_per_atom": -3.57, "sg": "No. 12"}

Entry 3:
{"formula": "Pu3AlRu4", "functional": "PBE", "state": "relaxed", "lattice": [[-4.524, -0.109, -0.223], [0.161, -4.384, -1.135], [1.893, 0.491, 7.395]], "species": ["Ru", "Ru", "Ru", "Ru", "Pu", "Pu", "Pu", "Al"], "frac_coords": [[0.613, 0.613, 0.225], [0.887, 0.888, 0.775], [0.387, 0.387, 0.775], [0.113, 0.112, 0.225], [0.000, 0.500, 0.000], [0.263, 0.763, 0.526], [0.737, 0.237, 0.474], [0.500, 0.000, 0.000]], "dos_at_fermi_per_ev_cell": 12.90, "e_tot_ev_per_atom": -10.74, "ef_mev_per_atom": -258, "sg": "No. 139"}

Entry 4:
{"formula": "NaPtI3", "functional": "PBE", "state": "relaxed", "lattice": [[-3.737, -2.225, 3.498], [3.066, -4.653, 0.316], [2.790, 2.133, 4.337]], "species": ["Pt", "I", "I", "I", "Na"], "frac_coords": [[0.000, 0.000, 0.000], [0.500, 0.000, 0.000], [0.000, 0.500, 0.000], [0.000, 0.000, 0.500], [0.500, 0.500, 0.500]], "e_form_raw_ev_per_atom": -0.39, "dos_at_fermi_per_ev_cell": 1.17, "e_tot_ev_per_atom": -2.79, "sg": "No. 221"}

Entry 5:
{"formula": "B5C7", "functional": "PBE", "state": "relaxed", "lattice": [[6.361, 0.225, -1.275], [5.792, 2.639, -1.275], [-0.009, -0.002, 5.055]], "species": ["B", "B", "B", "B", "B", "C", "C", "C", "C", "C", "C", "C"], "frac_coords": [[0.016, 0.016, 0.999], [0.916, 0.916, 0.198], [0.012, 0.012, 0.514], [0.906, 0.906, 0.711], [0.315, 0.315, 0.158], [0.669, 0.669, 0.832], [0.599, 0.599, 0.551], [0.244, 0.244, 0.865], [0.601, 0.601, 0.048], [0.244, 0.244, 0.379], [0.312, 0.312, 0.657], [0.667, 0.667, 0.337]], "dos_at_fermi_per_ev_cell": 3.12, "e_tot_ev_per_atom": -7.81, "ef_mev_per_atom": 357, "sg": "No. 8"}

Entry 6:
{"formula": "LaMgAs3", "functional": "PBE", "state": "relaxed", "lattice": [[-2.723, -1.013, 4.792], [-2.182, -4.658, -2.225], [4.385, -2.947, 1.869]], "species": ["As", "As", "As", "La", "Mg"], "frac_coords": [[0.000, 0.000, 0.500], [0.500, 0.000, 0.000], [0.000, 0.500, 0.000], [0.000, 0.000, 0.000], [0.500, 0.500, 0.500]], "dos_at_fermi_per_ev_cell": 4.02, "e_tot_ev_per_atom": -3.62, "ef_mev_per_atom": 479, "sg": "No. 221"}

Entry 7:
{"formula": "HfZr2Pa", "functional": "PBE", "state": "relaxed", "lattice": [[5.083, 0.000, 0.000], [2.542, 4.402, 0.000], [2.542, 1.467, 4.151]], "species": ["Zr", "Zr", "Pa", "Hf"], "frac_coords": [[0.750, 0.750, 0.750], [0.250, 0.250, 0.250], [0.000, 0.000, 0.000], [0.500, 0.500, 0.500]], "dos_at_fermi_per_ev_cell": 7.45, "e_tot_ev_per_atom": -9.03, "ef_mev_per_atom": 102, "sg": "No. 225"}

Entry 8:
{"formula": "Ac2Ce2Pb5", "functional": "PBE", "state": "relaxed", "lattice": [[8.648, 0.000, 0.000], [0.000, 8.567, 0.000], [0.000, -4.283, 8.138]], "species": ["Pb", "Pb", "Pb", "Pb", "Pb", "Pb", "Pb", "Pb", "Pb", "Pb", "Ac", "Ac", "Ac", "Ac", "Ce", "Ce", "Ce", "Ce"], "frac_coords": [[0.683, 0.058, 0.748], [0.183, 0.442, 0.252], [0.683, 0.310, 0.252], [0.817, 0.810, 0.252], [0.183, 0.190, 0.748], [0.000, 0.000, 0.000], [0.317, 0.942, 0.252], [0.817, 0.558, 0.748], [0.500, 0.500, 0.000], [0.317, 0.690, 0.748], [0.000, 0.785, 0.570], [0.000, 0.215, 0.430], [0.500, 0.715, 0.430], [0.500, 0.285, 0.570], [0.117, 0.617, 0.000], [0.617, 0.883, 0.000], [0.883, 0.383, 0.000], [0.383, 0.117, 0.000]], "dos_at_fermi_per_ev_cell": 24.44, "e_tot_ev_per_atom": -4.67, "ef_mev_per_atom": -378, "sg": "No. 64"}